A plane-wave DFT calculation with PBE was carried out for a geometry-optimized MnSn3Hg structure.

Computed properties:
* spin magnetization: 0.20 μB/atom
* V: 127 Å³ per cell
* calculated formation energy: 0.55 eV per formula unit
* symmetry: Pm-3m

a b c (Å): 5.028 5.028 5.028
angles (deg): 90.00 90.00 90.00
Element x y z (fractional)
Hg 0.500 0.500 0.500
Sn 0.000 0.500 0.000
Sn 0.000 0.000 0.500
Sn 0.500 0.000 0.000
Mn 0.000 0.000 0.000

A plane-wave DFT calculation with PBE was carried out for a geometry-optimized TaMnSn2Hg structure.

Computed properties:
* spin magnetization: 0.04 μB/atom
* V: 134 Å³ per cell
* calculated formation energy: 4.65 eV per formula unit
* symmetry: P4/mmm

a b c (Å): 5.400 4.606 5.400
angles (deg): 90.00 90.00 90.00
Element x y z (fractional)
Hg 0.500 0.500 0.500
Sn 0.500 0.000 0.000
Sn 0.000 0.000 0.500
Mn 0.000 0.500 0.000
Ta 0.000 0.000 0.000

A plane-wave DFT calculation with PBE was carried out for a geometry-optimized MnSnHgTe3 structure.

Computed properties:
* spin magnetization: 0.79 μB/atom
* V: 403 Å³ per cell
* symmetry: P2_1/m
* formation energy from raw total energies: -0.62 eV/f.u.

a b c (Å): 4.381 8.625 11.023
angles (deg): 104.53 90.00 90.00
Element x y z (fractional)
Te 0.750 0.936 0.161
Te 0.250 0.577 0.846
Mn 0.750 0.927 0.405
Te 0.750 0.423 0.154
Sn 0.250 0.671 0.142
Mn 0.250 0.073 0.595
Hg 0.250 0.181 0.154
Te 0.250 0.761 0.452
Hg 0.750 0.819 0.846
Sn 0.750 0.329 0.858
Te 0.750 0.239 0.548
Te 0.250 0.064 0.839

A plane-wave DFT calculation with PBE was carried out for a geometry-optimized MnSnHgW2 structure.

Computed properties:
* spin magnetization: 0.53 μB/atom
* V: 120 Å³ per cell
* calculated formation energy: 10.97 eV per formula unit
* symmetry: P4/mmm

a b c (Å): 4.988 4.809 4.988
angles (deg): 90.00 90.00 90.00
Element x y z (fractional)
Hg 0.500 0.500 0.500
W 0.000 0.000 0.500
Mn 0.000 0.500 0.000
W 0.500 0.000 0.000
Sn 0.000 0.000 0.000

A plane-wave DFT calculation with PBE was carried out for a geometry-optimized Sr2MnHg2 structure.

Computed properties:
* spin magnetization: 0.89 μB/atom
* V: 168 Å³ per cell
* calculated formation energy: 0.19 eV per formula unit
* energy above the lowest structure with this stoichiometry: 0.000 eV per atom
* symmetry: I4/mmm

a b c (Å): 6.379 6.379 6.118
angles (deg): 58.58 58.58 90.00
Element x y z (fractional)
Hg 0.669 0.669 0.662
Mn 0.000 0.000 0.000
Sr 0.250 0.750 0.500
Sr 0.750 0.250 0.500
Hg 0.331 0.331 0.338

A plane-wave DFT calculation with PBE was carried out for a geometry-optimized SrMnHg2 structure.

Computed properties:
* spin magnetization: 0.94 μB/atom
* V: 111 Å³ per cell
* calculated formation energy: 0.14 eV per formula unit
* symmetry: Pm

a b c (Å): 5.084 3.954 5.541
angles (deg): 89.58 90.00 90.00
Element x y z (fractional)
Mn 0.000 0.257 0.469
Hg 0.000 0.245 0.970
Sr 0.500 0.749 0.775
Hg 0.500 0.250 0.285

A plane-wave DFT calculation with PBE was carried out for a geometry-optimized SrMn2Hg structure.

Computed properties:
* spin magnetization: 1.98 μB/atom
* V: 93 Å³ per cell
* calculated formation energy: 1.38 eV per formula unit
* symmetry: P4mm

a b c (Å): 3.578 3.578 7.272
angles (deg): 90.00 90.00 90.00
Element x y z (fractional)
Mn 0.000 0.000 0.017
Mn 0.500 0.500 0.186
Sr 0.000 0.000 0.495
Hg 0.500 0.500 0.802

A plane-wave DFT calculation with PBE was carried out for a geometry-optimized Sr4MnHg structure.

Computed properties:
* spin magnetization: 0.74 μB/atom
* V: 268 Å³ per cell
* calculated formation energy: 4.03 eV per formula unit
* symmetry: F-43m

a b c (Å): 7.237 7.237 7.237
angles (deg): 60.00 60.00 60.00
Element x y z (fractional)
Hg 0.750 0.750 0.750
Sr 0.375 0.876 0.375
Sr 0.375 0.375 0.375
Sr 0.876 0.375 0.375
Sr 0.375 0.375 0.876
Mn 0.000 0.000 0.000

A plane-wave DFT calculation with PBE was carried out for a geometry-optimized SrMnHg3 structure.

Computed properties:
* spin magnetization: 0.62 μB/atom
* V: 141 Å³ per cell
* calculated formation energy: -0.03 eV per formula unit
* energy above the lowest structure with this stoichiometry: 0.000 eV per atom
* symmetry: Pm-3m

a b c (Å): 5.204 5.204 5.204
angles (deg): 90.00 90.00 90.00
Element x y z (fractional)
Sr 0.500 0.500 0.500
Hg 0.500 0.000 0.000
Hg 0.000 0.500 0.000
Hg 0.000 0.000 0.500
Mn 0.000 0.000 0.000

A plane-wave DFT calculation with PBE was carried out for a geometry-optimized Sr2MnHg2 structure.

Computed properties:
* spin magnetization: 0.03 μB/atom
* V: 282 Å³ per cell
* calculated formation energy: 1.42 eV per formula unit
* energy above the lowest structure with this stoichiometry: 0.246 eV per atom
* symmetry: P4/mbm

a b c (Å): 7.433 7.433 5.111
angles (deg): 90.00 90.00 90.00
Element x y z (fractional)
Mn 0.000 0.000 0.000
Sr 0.674 0.826 0.500
Hg 0.852 0.648 0.000
Sr 0.174 0.674 0.500
Hg 0.648 0.148 0.000
Hg 0.148 0.352 0.000
Sr 0.826 0.326 0.500
Sr 0.326 0.174 0.500
Mn 0.500 0.500 0.000
Hg 0.352 0.852 0.000

A plane-wave DFT calculation with PBE was carried out for a geometry-optimized SrMnHg2 structure.

Computed properties:
* spin magnetization: 0.94 μB/atom
* V: 111 Å³ per cell
* calculated formation energy: -0.04 eV per formula unit
* symmetry: Cm

a b c (Å): 4.666 4.666 6.489
angles (deg): 68.92 68.92 59.87
Element x y z (fractional)
Hg 0.966 0.966 0.101
Mn 0.569 0.569 0.292
Sr 0.759 0.759 0.725
Hg 0.206 0.206 0.383

A plane-wave DFT calculation with PBE was carried out for a geometry-optimized SrMn2Hg structure.

Computed properties:
* spin magnetization: 2.04 μB/atom
* V: 95 Å³ per cell
* calculated formation energy: 1.92 eV per formula unit
* symmetry: I-4m2

a b c (Å): 5.095 5.095 5.095
angles (deg): 118.96 118.96 91.81
Element x y z (fractional)
Sr 0.500 0.500 0.000
Hg 0.750 0.250 0.500
Mn 0.250 0.750 0.500
Mn 0.000 0.000 0.000